Below is a geometry-optimized LiNp structure, with properties calculated at the PBE level.

- distance to the lowest polymorph of the same formula (eV/f.u.) = 1.97
- total magnetization (μB per formula unit) = 6.03

a b c (Å): 4.097 4.097 4.097
angles (deg): 60.00 60.00 60.00
Atoms (fractional coordinates):
Li (0.000, 0.000, 0.000)
Np (0.500, 0.500, 0.500)

---

Below is a geometry-optimized Tm3ScPb2 structure, with properties calculated at the PBE level.

- VASP energy (eV per cell) = -59.109
- total magnetization (μB per formula unit) = 0.13

a b c (Å): 9.398 9.398 9.398
angles (deg): 140.70 56.78 140.72
Atoms (fractional coordinates):
Pb (0.860, 0.245, 0.105)
Pb (0.640, 0.745, 0.385)
Pb (0.360, 0.255, 0.615)
Pb (0.140, 0.755, 0.895)
Sc (0.250, 0.250, 0.000)
Sc (0.750, 0.750, 0.000)
Tm (0.331, 0.749, 0.080)
Tm (0.169, 0.249, 0.418)
Tm (0.750, 0.250, 0.500)
Tm (0.250, 0.750, 0.500)
Tm (0.831, 0.751, 0.582)
Tm (0.669, 0.251, 0.920)

---

Below is a geometry-optimized AcMg2Cd4 structure, with properties calculated at the PBE level.

- VASP energy (eV per cell) = -12.464
- total magnetization (μB per formula unit) = 0.01

a b c (Å): 6.153 6.153 6.153
angles (deg): 103.19 103.19 122.94
Atoms (fractional coordinates):
Ac (0.000, 0.000, 0.000)
Cd (0.693, 0.307, 0.000)
Cd (0.307, 0.693, 0.000)
Cd (0.693, 0.693, 0.387)
Cd (0.307, 0.307, 0.613)
Mg (0.750, 0.250, 0.500)
Mg (0.250, 0.750, 0.500)